Entry i
Here is crystalline HfSbH at its relaxed geometry from Alexandria via LeMat-Bulk. Energies are from PBE.

a b c (Å): 17.959 3.600 6.724
angles (deg): 90.00 100.67 90.00
Space group C2/m (No. 12)
One atom of each set of equivalent atoms:
Hf1 0.185 0.000 0.088 (multiplicity 4)
Hf2 0.185 0.000 0.597 (multiplicity 4)
Sb1 0.053 0.000 0.778 (multiplicity 4)
Sb2 0.096 0.500 0.301 (multiplicity 4)
H1 0.246 0.500 0.121 (multiplicity 4)
H2 0.246 0.500 0.626 (multiplicity 4)



Entry ii
Here is crystalline HfSbH at its relaxed geometry from Alexandria via LeMat-Bulk. Energies are from PBE.

a b c (Å): 14.754 14.754 8.223
angles (deg): 90.00 90.00 90.00
Space group I4_1/a (No. 88, origin choice 2)
One atom of each set of equivalent atoms:
Hf1 0.143 0.466 0.189 (multiplicity 16)
Hf2 0.161 0.067 0.449 (multiplicity 16)
Sb1 0.008 0.421 0.626 (multiplicity 16)
Sb2 0.011 0.100 0.986 (multiplicity 16)
H1 0.135 0.038 0.211 (multiplicity 16)
H2 0.162 0.447 0.431 (multiplicity 16)



Entry iii
Here is crystalline HfSbH at its relaxed geometry from Alexandria via LeMat-Bulk. Energies are from PBE.

a b c (Å): 3.6912 3.6912 8.2138
angles (deg): 90.00 90.00 120.00
Space group P6_3/mmc (No. 194)
One atom of each set of equivalent atoms:
Hf1 0.3333 0.6667 0.2500 (multiplicity 2)
Sb1 0.0000 0.0000 0.0000 (multiplicity 2)
H1 0.3333 0.6667 0.7500 (multiplicity 2)



Entry iv
Here is crystalline HfSbH at its relaxed geometry from Alexandria via LeMat-Bulk. Energies are from PBE.

a b c (Å): 3.7473 3.7473 3.9520
angles (deg): 90.00 90.00 120.00
Space group P-6m2 (No. 187)
One atom of each set of equivalent atoms:
Hf1 0.0000 0.0000 0.0000 (multiplicity 1)
Sb1 0.6667 0.3333 0.5000 (multiplicity 1)
H1 0.3333 0.6667 0.0000 (multiplicity 1)



Computed stability ranking, most favorable first: entry iv, entry iii, entry ii, entry i



Entry i
Here is crystalline Hf2SbH at its relaxed geometry from Alexandria via LeMat-Bulk. Energies are from PBE.

a b c (Å): 8.886 5.361 3.079
angles (deg): 90.00 109.60 90.00
Space group C2/m (No. 12)
One atom of each set of equivalent atoms:
Hf1 0.185 0.000 0.186 (multiplicity 4)
Sb1 0.000 0.500 0.000 (multiplicity 2)
H1 0.000 0.000 0.500 (multiplicity 2)



Entry ii
Here is crystalline Hf2SbH at its relaxed geometry from Alexandria via LeMat-Bulk. Energies are from PBE.

a b c (Å): 3.3667 3.3667 21.1683
angles (deg): 90.00 90.00 120.00
Space group R-3m (No. 166, hexagonal axes)
One atom of each set of equivalent atoms:
Hf1 0.0000 0.0000 0.2236 (multiplicity 6)
Sb1 0.0000 0.0000 0.0000 (multiplicity 3)
H1 0.0000 0.0000 0.5000 (multiplicity 3)



Computed stability ranking, most favorable first: entry i, entry ii



Entry i
Here is crystalline Hf2SbH at its relaxed geometry from Alexandria via LeMat-Bulk. Energies are from PBE.

a b c (Å): 3.4095 3.4095 20.5693
angles (deg): 90.00 90.00 120.00
Space group R3m (No. 160, hexagonal axes)
One atom of each set of equivalent atoms:
Hf1 0.0000 0.0000 0.0000 (multiplicity 3)
Hf2 0.0000 0.0000 0.2171 (multiplicity 3)
Sb1 0.0000 0.0000 0.4424 (multiplicity 3)
H1 0.0000 0.0000 0.6109 (multiplicity 3)



Entry ii
Here is crystalline Hf2SbH at its relaxed geometry from Alexandria via LeMat-Bulk. Energies are from PBE.

a b c (Å): 5.550 5.550 10.151
angles (deg): 90.00 90.00 90.00
Space group I4_1/amd (No. 141, origin choice 2)
One atom of each set of equivalent atoms:
Hf1 0.000 0.000 0.000 (multiplicity 8)
Sb1 0.000 0.250 0.375 (multiplicity 4)
H1 0.000 0.250 0.875 (multiplicity 4)



Computed stability ranking, most favorable first: entry i, entry ii



Entry i
Here is crystalline HfSb3H at its relaxed geometry from Alexandria via LeMat-Bulk. Energies are from PBE.

a b c (Å): 5.513 5.513 5.513
angles (deg): 90.00 90.00 90.00
Space group Pm-3m (No. 221)
One atom of each set of equivalent atoms:
Hf1 0.000 0.000 0.000 (multiplicity 1)
Sb1 0.000 0.000 0.500 (multiplicity 3)
H1 0.500 0.500 0.500 (multiplicity 1)



Entry ii
Here is crystalline HfSb3H at its relaxed geometry from Alexandria via LeMat-Bulk. Energies are from PBE.

a b c (Å): 4.679 4.679 4.679
angles (deg): 90.00 90.00 90.00
Space group Pm-3m (No. 221)
One atom of each set of equivalent atoms:
Hf1 0.000 0.000 0.000 (multiplicity 1)
Sb1 0.000 0.500 0.500 (multiplicity 3)
H1 0.500 0.500 0.500 (multiplicity 1)



Computed stability ranking, most favorable first: entry ii, entry i